Record 1
# PBE YErZnSi, optimized geometry
data_YErZnSi
_chemical_formula_sum 'Y1 Er1 Zn1 Si1'
_cell_length_a 4.1642
_cell_length_b 4.0494
_cell_length_c 5.7660
_cell_angle_alpha 90.00
_cell_angle_beta 111.17
_cell_angle_gamma 90.00
_symmetry_space_group_name_H-M 'P 1'
_symmetry_Int_Tables_number 1
loop_
_symmetry_equiv_pos_as_xyz
'x,y,z'
loop_
_atom_site_label
_atom_site_type_symbol
_atom_site_fract_x
_atom_site_fract_y
_atom_site_fract_z
Er1 Er 0.8598 0.5000 0.7196
Si1 Si 0.4259 0.0000 0.8519
Zn1 Zn 0.5710 0.5000 0.1421
Y1 Y 0.1432 0.0000 0.2864
# Excess energy over the best structure of this formula in the dataset: 0.000 eV/atom
# D(E_F): 0.95 states/eV per atom
# Space group: No. 38
# Formation energy without anion corrections: -227 kJ/mol of formula units

***

Record 2
# PBE CrCdRe2, optimized geometry
data_CrCdRe2
_chemical_formula_sum 'Cr1 Cd1 Re2'
_cell_length_a 9.3731
_cell_length_b 9.3731
_cell_length_c 9.3731
_cell_angle_alpha 17.05
_cell_angle_beta 17.05
_cell_angle_gamma 17.05
_symmetry_space_group_name_H-M 'P 1'
_symmetry_Int_Tables_number 1
loop_
_symmetry_equiv_pos_as_xyz
'x,y,z'
loop_
_atom_site_label
_atom_site_type_symbol
_atom_site_fract_x
_atom_site_fract_y
_atom_site_fract_z
Cr1 Cr 0.7500 0.7500 0.7500
Re1 Re 0.0100 0.0100 0.0100
Re2 Re 0.4900 0.4900 0.4900
Cd1 Cd 0.2500 0.2500 0.2500
# D(E_F): 1.43 states/eV per atom
# Formation energy from the elements: 34.1 kJ/mol of atoms
# Space group: No. 166

***

Record 3
# PBE Ce2CrC2, optimized geometry
data_Ce2CrC2
_chemical_formula_sum 'Ce4 Cr2 C4'
_cell_length_a 5.2643
_cell_length_b 6.0978
_cell_length_c 6.4779
_cell_angle_alpha 117.25
_cell_angle_beta 90.00
_cell_angle_gamma 115.57
_symmetry_space_group_name_H-M 'P 1'
_symmetry_Int_Tables_number 1
loop_
_symmetry_equiv_pos_as_xyz
'x,y,z'
loop_
_atom_site_label
_atom_site_type_symbol
_atom_site_fract_x
_atom_site_fract_y
_atom_site_fract_z
Cr1 Cr 0.6335 0.2670 0.1276
Cr2 Cr 0.3665 0.7330 0.8724
C1 C 0.5056 0.0113 0.7792
C2 C 0.8197 0.6394 0.3927
C3 C 0.4944 0.9887 0.2208
C4 C 0.1803 0.3606 0.6073
Ce1 Ce 0.3117 0.6235 0.3591
Ce2 Ce 0.0369 0.0738 0.8021
Ce3 Ce 0.9631 0.9262 0.1979
Ce4 Ce 0.6883 0.3765 0.6409
# D(E_F): 1.32 states/eV per atom
# Formation energy from the elements: -16.6 kJ/mol of atoms
# Space group: No. 12